Entry 1:
5
Lattice="5.290 0.000 0.000 0.000 5.150 0.000 0.000 0.000 5.290" Properties=species:S:1:pos:R:3 comment="SrTa2PBr GGA-PBE optimized geometry" formation_energy_uncorrected_ev_per_fu=13.043 sg="P4/mmm, No. 123" total_magnetization_mub_per_cell=1.866 pbc="T T T"
Sr 0.000 0.000 0.000
P 0.000 2.575 0.000
Br 2.645 2.575 2.645
Ta 0.000 0.000 2.645
Ta 2.645 0.000 0.000


Entry 2:
4
Lattice="-1.038 -3.731 -2.164 1.670 -1.990 2.630 -3.183 -0.199 1.870" Properties=species:S:1:pos:R:3 comment="CoW2Se GGA-PBE optimized geometry" formation_energy_uncorrected_ev_per_fu=2.707 sg="P4/mmm, No. 123" total_magnetization_mub_per_cell=0.000 pbc="T T T"
Co 0.316 -2.861 0.233
Se -2.110 -1.965 -0.147
W 0.000 0.000 0.000
W -0.756 -1.095 2.250


Entry 3:
5
Lattice="4.454 0.000 0.000 0.000 4.454 0.000 0.000 0.000 4.454" Properties=species:S:1:pos:R:3 comment="InFeOs3 GGA-PBE optimized geometry" formation_energy_ev_per_atom=1.59 sg="Pm-3m, No. 221" total_magnetization_mub_per_cell=0.000 pbc="T T T"
Os 0.000 2.227 0.000
Os 0.000 0.000 2.227
Os 2.227 0.000 0.000
Fe 0.000 0.000 0.000
In 2.227 2.227 2.227


Entry 4:
8
Lattice="-3.769 -4.096 2.335 0.915 -2.075 -2.163 10.387 -4.561 8.767" Properties=species:S:1:pos:R:3 comment="CsPCBr GGA-PBE optimized geometry" formation_energy_uncorrected_ev_per_fu=0.870 polymorph_energy_mev_per_atom=6 sg="Amm2, No. 38" total_magnetization_mub_per_cell=0.230 pbc="T T T"
Cs 2.242 -3.860 4.650
Cs 7.893 -7.178 7.952
P -0.406 -2.698 2.416
P 5.246 -6.016 5.718
C 5.351 -5.226 7.275
C 0.615 -3.982 1.809
Br 10.018 -4.399 8.456
Br 5.282 -3.156 2.991


Entry 5:
4
Lattice="5.145 0.000 0.000 2.572 4.455 0.000 2.572 1.485 4.201" Properties=species:S:1:pos:R:3 comment="CaTlZnHg GGA-PBE optimized geometry" formation_energy_ev_per_atom=-0.20 sg="F-43m, No. 216" total_magnetization_mub_per_cell=0.000 pbc="T T T"
Zn 2.572 1.485 1.050
Tl 5.145 2.970 2.100
Ca 7.717 4.455 3.150
Hg 0.000 0.000 0.000


Entry 6:
12
Lattice="2.288 3.680 0.080 -2.288 3.680 0.080 0.000 1.609 4.844" Properties=species:S:1:pos:R:3 comment="B2C GGA-PBE optimized geometry" formation_energy_ev_per_atom=0.40 polymorph_energy_mev_per_atom=213 sg="C2, No. 5" total_magnetization_mub_per_cell=0.000 pbc="T T T"
B -1.421 3.846 1.344
B -0.037 4.959 0.810
B 1.250 5.636 2.116
B 0.135 3.195 1.479
B 1.250 3.334 2.888
B -1.421 5.124 3.659
B 0.135 5.775 3.525
B -0.037 4.011 4.194
C 2.167 3.680 0.080
C -2.273 4.485 2.502
C 1.269 6.446 4.616
C 1.269 2.524 0.388


Entry 7:
10
Lattice="-7.080 1.330 3.381 -4.004 0.322 -8.530 3.697 -4.929 0.313" Properties=species:S:1:pos:R:3 comment="Pm3DyHo6 GGA-PBE optimized geometry" formation_energy_ev_per_atom=0.02 polymorph_energy_mev_per_atom=0 sg="P-1, No. 2" total_magnetization_mub_per_cell=0.000 pbc="T T T"
Pm -2.841 -2.099 0.494
Pm -4.546 -1.177 -5.330
Pm 0.000 0.000 0.000
Dy -5.542 0.826 -2.575
Ho -2.284 -0.594 -2.685
Ho -1.285 -2.589 -5.442
Ho -5.103 -2.682 -2.152
Ho -6.102 -0.687 0.605
Ho 0.432 -3.519 0.406
Ho -7.819 0.243 -5.243


Entry 8:
4
Lattice="-2.861 0.649 -2.380 -1.835 -0.407 2.095 -1.595 5.735 3.483" Properties=species:S:1:pos:R:3 comment="AgAsOs2 GGA-PBE optimized geometry" formation_energy_ev_per_atom=0.53 sg="Pm, No. 6" total_magnetization_mub_per_cell=0.000 pbc="T T T"
As -4.000 4.565 3.057
Os -1.825 -0.250 2.125
Os -2.297 1.369 0.136
Ag -1.720 2.553 2.764


Entry 9:
4
Lattice="-5.121 1.753 -1.162 -4.375 -3.066 1.451 -3.341 1.693 4.076" Properties=species:S:1:pos:R:3 comment="CaMg GGA-PBE optimized geometry" formation_energy_ev_per_atom=-0.02 sg="Fd-3m, No. 227" total_magnetization_mub_per_cell=0.000 pbc="T T T"
Ca -4.815 0.142 1.638
Ca -8.021 0.237 2.728
Mg -1.607 0.047 0.547
Mg -11.229 0.332 3.819


Entry 10:
8
Lattice="-3.348 1.209 2.399 1.620 -5.283 4.923 4.698 2.757 5.168" Properties=species:S:1:pos:R:3 comment="Sm4SiBiSe2 GGA-PBE optimized geometry" formation_energy_uncorrected_ev_per_fu=-10.657 sg="P2/m, No. 10" total_magnetization_mub_per_cell=0.000 pbc="T T T"
Sm 4.659 -1.957 7.489
Sm -1.689 0.641 5.001
Sm 0.779 -2.593 6.235
Sm 2.191 1.277 6.255
Si 3.159 -1.263 5.046
Bi -0.864 -2.037 3.661
Se 4.698 2.757 5.168
Se 0.675 1.983 3.783


Entry 11:
7
Lattice="3.518 0.000 0.000 0.000 7.116 -0.516 -1.759 -2.764 7.499" Properties=species:S:1:pos:R:3 comment="Mg3Cd2Pb2 GGA-PBE optimized geometry" formation_energy_ev_per_atom=0.01 polymorph_energy_mev_per_atom=59 sg="C2/m, No. 12" total_magnetization_mub_per_cell=0.000 pbc="T T T"
Mg 0.000 3.558 -0.258
Mg 0.000 4.417 2.860
Mg 1.759 -0.065 4.123
Cd 1.759 2.765 4.901
Cd 0.000 1.587 2.081
Pb 1.759 5.995 0.669
Pb 0.000 -1.644 6.314


Entry 12:
20
Lattice="-3.459 -0.173 -0.675 -1.193 -5.759 7.587 -1.473 7.665 5.588" Properties=species:S:1:pos:R:3 comment="Mg2Si2Pd5Au GGA-PBE optimized geometry" formation_energy_uncorrected_ev_per_fu=-5.749 sg="P4/mbm, No. 127" total_magnetization_mub_per_cell=0.000 pbc="T T T"
Mg -1.055 -2.552 6.059
Mg -1.611 4.458 7.115
Mg -0.688 1.523 3.138
Mg -1.977 0.383 10.037
Si -1.076 4.076 4.474
Si -1.589 -2.170 8.700
Si -2.033 3.073 9.636
Si -0.632 -1.167 3.538
Pd -2.091 -0.713 1.675
Pd -4.033 2.447 10.824
Pd -2.984 5.537 4.653
Pd -3.201 -0.920 7.417
Pd -3.141 -3.803 7.846
Pd -2.924 2.654 5.083
Pd -3.461 2.037 7.995
Pd -2.663 -0.304 4.505
Pd -2.326 -2.966 3.456
Pd -2.466 3.746 2.456
Au 0.000 0.000 0.000
Au -1.333 0.953 6.587


Entry 13:
4
Lattice="-2.145 1.465 1.784 -2.300 -1.575 -1.471 0.423 -4.687 4.357" Properties=species:S:1:pos:R:3 comment="Tc2SnGe GGA-PBE optimized geometry" formation_energy_ev_per_atom=0.07 polymorph_energy_mev_per_atom=0 sg="P4/mmm, No. 123" total_magnetization_mub_per_cell=0.000 pbc="T T T"
Ge -2.222 -0.055 0.157
Sn -2.011 -2.398 2.335
Tc 0.327 -3.630 3.375
Tc 0.095 -1.057 0.982


Entry 14:
5
Lattice="-2.326 -0.492 -4.228 -1.293 -4.509 1.236 -4.055 1.720 2.031" Properties=species:S:1:pos:R:3 comment="ZnCrCl3 GGA-PBE optimized geometry" formation_energy_uncorrected_ev_per_fu=-2.684 polymorph_energy_mev_per_atom=0 sg="Pm-3m, No. 221" total_magnetization_mub_per_cell=3.000 pbc="T T T"
Cr 0.000 0.000 0.000
Zn -3.837 -1.640 -0.481
Cl -0.647 -2.254 0.618
Cl -2.028 0.860 1.015
Cl -1.163 -0.246 -2.114


Entry 15:
4
Lattice="0.000 2.599 2.599 2.599 0.000 2.599 2.599 2.599 0.000" Properties=species:S:1:pos:R:3 comment="CoRuN2 GGA-PBE optimized geometry" formation_energy_uncorrected_ev_per_fu=4.202 polymorph_energy_mev_per_atom=883 sg="Fm-3m, No. 225" total_magnetization_mub_per_cell=0.000 pbc="T T T"
Ru 2.599 2.599 2.599
Co 0.000 0.000 0.000
N 1.299 1.299 1.299
N 3.898 3.898 3.898


Entry 16:
8
Lattice="4.367 0.000 0.000 0.000 4.367 0.000 2.183 2.183 7.324" Properties=species:S:1:pos:R:3 comment="NbTeF2 GGA-PBE optimized geometry" formation_energy_uncorrected_ev_per_fu=-5.069 polymorph_energy_mev_per_atom=172 sg="I-42d, No. 122" total_magnetization_mub_per_cell=1.954 pbc="T T T"
Nb 2.183 2.183 0.000
Nb 2.183 4.367 3.662
Te 0.000 0.000 0.000
Te 4.367 2.183 3.662
F 2.490 1.092 1.831
F 1.877 3.275 1.831
F 3.275 4.060 5.493
F 5.458 4.673 5.493


Entry 17:
5
Lattice="-3.574 3.097 3.015 -0.237 -3.143 2.947 4.311 2.275 2.774" Properties=species:S:1:pos:R:3 comment="NaLiLa2Rh GGA-PBE optimized geometry" formation_energy_ev_per_atom=0.29 polymorph_energy_mev_per_atom=476 sg="P4/mmm, No. 123" total_magnetization_mub_per_cell=0.000 pbc="T T T"
Na 0.250 1.114 4.368
Li 0.000 0.000 0.000
Rh -0.119 -1.572 1.473
La 2.156 1.137 1.387
La -1.787 1.548 1.508


Entry 18:
8
Lattice="4.022 0.000 0.000 0.000 6.908 -0.075 0.000 2.499 6.617" Properties=species:S:1:pos:R:3 comment="Li2DySnSe4 GGA-PBE optimized geometry" formation_energy_uncorrected_ev_per_fu=-9.481 sg="P2/m, No. 10" total_magnetization_mub_per_cell=0.000 pbc="T T T"
Li 0.000 2.499 6.617
Li 2.011 1.249 3.308
Dy 0.000 4.704 3.271
Sn 2.011 5.953 6.579
Se 0.000 7.100 4.874
Se 4.022 2.307 1.668
Se 2.011 5.824 1.570
Se 2.011 3.584 4.972


Entry 19:
4
Lattice="4.643 0.000 0.000 2.322 4.021 0.000 2.322 1.340 3.791" Properties=species:S:1:pos:R:3 comment="LuCuSnRu GGA-PBE optimized geometry" formation_energy_ev_per_atom=-0.31 sg="F-43m, No. 216" total_magnetization_mub_per_cell=0.000 pbc="T T T"
Ru 6.965 4.021 2.843
Lu 0.000 0.000 0.000
Sn 4.643 2.681 1.896
Cu 2.322 1.340 0.948


Entry 20:
10
Lattice="6.903 0.000 0.000 0.000 6.903 0.000 0.000 0.000 2.683" Properties=species:S:1:pos:R:3 comment="Fe2OsRu2 GGA-PBE optimized geometry" formation_energy_ev_per_atom=0.28 polymorph_energy_mev_per_atom=0 sg="P4/mbm, No. 127" total_magnetization_mub_per_cell=0.000 pbc="T T T"
Ru 1.217 4.668 1.341
Ru 4.668 5.686 1.341
Ru 5.686 2.235 1.341
Ru 2.235 1.217 1.341
Os 0.000 0.000 0.000
Os 3.451 3.451 0.000
Fe 2.628 6.079 0.000
Fe 6.079 4.275 0.000
Fe 4.275 0.824 0.000
Fe 0.824 2.628 0.000